[1]
# HoEr4S6, optimized geometry, DFT GGA-PBE
# Crystal system ... orthorhombic
# D(E_F) ... 2.7 states/eV/f.u.
# Final energy ... -6.35 eV per atom
# Energy relative to the elements, uncorrected ... -195 kJ/mol of atoms
data_HoEr4S6
_chemical_formula_sum 'Ho4 Er16 S24'
_space_group_name_H-M_alt 'C m c m'
_space_group_IT_number 63
_space_group_name_Hall '-C 2c 2'
_cell_length_a 3.791
_cell_length_b 12.727
_cell_length_c 19.654
_cell_angle_alpha 90.00
_cell_angle_beta 90.00
_cell_angle_gamma 90.00
loop_
_atom_site_label
_atom_site_type_symbol
_atom_site_fract_x
_atom_site_fract_y
_atom_site_fract_z
Ho1 Ho 0.000 0.151 0.250
Er1 Er 0.000 0.091 0.628
Er2 Er 0.000 0.361 0.540
S1 S 0.000 0.000 0.000
S2 S 0.000 0.193 0.750
S3 S 0.000 0.269 0.089
S4 S 0.000 0.450 0.667

***

[2]
# HoErS2, optimized geometry, DFT GGA-PBE
# Crystal system ... trigonal
# Polymorph energy (0 for the lowest one) ... 0.026 eV/atom
# D(E_F) ... 0.7 states/eV/f.u.
# Final energy ... -6.29 eV per atom
# Energy relative to the elements, uncorrected ... -187 kJ/mol of atoms
data_HoErS2
_chemical_formula_sum 'Ho3 Er3 S6'
_space_group_name_H-M_alt 'R 3 m'
_space_group_IT_number 160
_space_group_name_Hall 'R 3 -2"'
_cell_length_a 3.7933
_cell_length_b 3.7933
_cell_length_c 20.1251
_cell_angle_alpha 90.00
_cell_angle_beta 90.00
_cell_angle_gamma 120.00
loop_
_atom_site_label
_atom_site_type_symbol
_atom_site_fract_x
_atom_site_fract_y
_atom_site_fract_z
Ho1 Ho 0.0000 0.0000 0.0000
Er1 Er 0.0000 0.0000 0.8216
S1 S 0.0000 0.0000 0.2423
S2 S 0.0000 0.0000 0.4131

***

[3]
# Ho4ErS4, optimized geometry, DFT GGA-PBE
# Crystal system ... tetragonal
# D(E_F) ... 5.4 states/eV/f.u.
# Final energy ... -6.11 eV per atom
# Energy relative to the elements, uncorrected ... -168 kJ/mol of atoms
data_Ho4ErS4
_chemical_formula_sum 'Ho8 Er2 S8'
_space_group_name_H-M_alt 'I 4/m'
_space_group_IT_number 87
_space_group_name_Hall '-I 4'
_cell_length_a 8.590
_cell_length_b 8.590
_cell_length_c 5.465
_cell_angle_alpha 90.00
_cell_angle_beta 90.00
_cell_angle_gamma 90.00
loop_
_atom_site_label
_atom_site_type_symbol
_atom_site_fract_x
_atom_site_fract_y
_atom_site_fract_z
Ho1 Ho 0.103 0.300 0.000
Er1 Er 0.000 0.000 0.500
S1 S 0.098 0.301 0.500

***

[4]
# HoEr2S4, optimized geometry, DFT GGA-PBE
# Crystal system ... orthorhombic
# Polymorph energy (0 for the lowest one) ... 0.029 eV/atom
# D(E_F) ... 2.1 states/eV/f.u.
# Final energy ... -6.36 eV per atom
# Energy relative to the elements, uncorrected ... -197 kJ/mol of atoms
data_HoEr2S4
_chemical_formula_sum 'Ho4 Er8 S16'
_space_group_name_H-M_alt 'C m c m'
_space_group_IT_number 63
_space_group_name_Hall '-C 2c 2'
_cell_length_a 3.774
_cell_length_b 12.793
_cell_length_c 13.026
_cell_angle_alpha 90.00
_cell_angle_beta 90.00
_cell_angle_gamma 90.00
loop_
_atom_site_label
_atom_site_type_symbol
_atom_site_fract_x
_atom_site_fract_y
_atom_site_fract_z
Ho1 Ho 0.000 0.127 0.250
Er1 Er 0.000 0.370 0.070
S1 S 0.000 0.000 0.000
S2 S 0.000 0.276 0.622
S3 S 0.000 0.472 0.250

***

[5]
# Ho5ErS6, optimized geometry, DFT GGA-PBE
# Crystal system ... monoclinic
# D(E_F) ... 4.2 states/eV/f.u.
# Final energy ... -6.32 eV per atom
# Energy relative to the elements, uncorrected ... -190 kJ/mol of atoms
data_Ho5ErS6
_chemical_formula_sum 'Ho10 Er2 S12'
_space_group_name_H-M_alt 'C 1 2/m 1'
_space_group_IT_number 12
_cell_length_a 6.719
_cell_length_b 11.666
_cell_length_c 6.710
_cell_angle_alpha 90.00
_cell_angle_beta 109.65
_cell_angle_gamma 90.00
loop_
_space_group_symop_operation_xyz
'x,y,z'
'-x,-y,-z'
'-x,y,-z'
'x,-y,z'
'x+1/2,y+1/2,z'
'-x+1/2,-y+1/2,-z'
'-x+1/2,y+1/2,-z'
'x+1/2,-y+1/2,z'
loop_
_atom_site_label
_atom_site_type_symbol
_atom_site_fract_x
_atom_site_fract_y
_atom_site_fract_z
Ho1 Ho 0.000 0.000 0.000
Ho2 Ho 0.000 0.167 0.500
Ho3 Ho 0.000 0.333 0.000
Er1 Er 0.000 0.500 0.500
S1 S 0.249 0.334 0.749
S2 S 0.249 0.500 0.250

***

[6]
# HoEr4S4, optimized geometry, DFT GGA-PBE
# Crystal system ... tetragonal
# D(E_F) ... 5.3 states/eV/f.u.
# Final energy ... -6.10 eV per atom
# Energy relative to the elements, uncorrected ... -167 kJ/mol of atoms
data_HoEr4S4
_chemical_formula_sum 'Ho2 Er8 S8'
_space_group_name_H-M_alt 'I 4/m'
_space_group_IT_number 87
_space_group_name_Hall '-I 4'
_cell_length_a 8.571
_cell_length_b 8.571
_cell_length_c 5.435
_cell_angle_alpha 90.00
_cell_angle_beta 90.00
_cell_angle_gamma 90.00
loop_
_atom_site_label
_atom_site_type_symbol
_atom_site_fract_x
_atom_site_fract_y
_atom_site_fract_z
Ho1 Ho 0.000 0.000 0.000
Er1 Er 0.103 0.300 0.500
S1 S 0.098 0.302 0.000

***

Copy entry 1 word for word.
# HoEr4S6, optimized geometry, DFT GGA-PBE
# Crystal system ... orthorhombic
# D(E_F) ... 2.7 states/eV/f.u.
# Final energy ... -6.35 eV per atom
# Energy relative to the elements, uncorrected ... -195 kJ/mol of atoms
data_HoEr4S6
_chemical_formula_sum 'Ho4 Er16 S24'
_space_group_name_H-M_alt 'C m c m'
_space_group_IT_number 63
_space_group_name_Hall '-C 2c 2'
_cell_length_a 3.791
_cell_length_b 12.727
_cell_length_c 19.654
_cell_angle_alpha 90.00
_cell_angle_beta 90.00
_cell_angle_gamma 90.00
loop_
_atom_site_label
_atom_site_type_symbol
_atom_site_fract_x
_atom_site_fract_y
_atom_site_fract_z
Ho1 Ho 0.000 0.151 0.250
Er1 Er 0.000 0.091 0.628
Er2 Er 0.000 0.361 0.540
S1 S 0.000 0.000 0.000
S2 S 0.000 0.193 0.750
S3 S 0.000 0.269 0.089
S4 S 0.000 0.450 0.667